The following is a PBE+U calculation of crystalline AcCr2BiO6 at its relaxed geometry, from Alexandria.

Output
* total moment: 6.00 μB per formula unit
* crystal system: trigonal
* final energy: -7.438 eV/atom
* calculated density: 8.34 Mg/m³
* symmetry: No. 146

Cell: 5.623 5.623 5.623 Å, 60.32 60.32 60.32°
Positions (direct):
Ac  0.000  0.000  0.000
Cr  0.245  0.245  0.245
Cr  0.748  0.748  0.748
Bi  0.522  0.522  0.522
O  0.065  0.494  0.924
O  0.440  0.968  0.550
O  0.494  0.924  0.065
O  0.550  0.440  0.968
O  0.924  0.065  0.494
O  0.968  0.550  0.440